Entry 1:
The following is a DFT calculation (PBE-GGA) of a relaxed K3Ir4 crystal.

Cell: 4.9728 4.9728 6.3603 Å, 90.00 90.00 120.00°
Closest atoms and distances in Å follow each position.
Space group P6/mmm (No. 191)
Unique sites:
K1 0.0000 0.5000 0.0000 x3  4 K 2.49
Ir1 0.0000 0.0000 0.3138 x2  1 Ir 2.37
Ir2 0.3333 0.6667 0.5000 x2  9 Ir 2.87-3.11

Properties
**Volume**: 136.2 Å³ per cell
**DOS(E_F)**: 11.34 states/eV/f.u.
**Total DFT energy (no corrections)**: -4.0387 eV/atom
**E_form**: 1495 meV/atom
**Density**: 10.8 g/cm3


Entry 2:
The following is a DFT calculation (PBE-GGA) of a relaxed Pm2HOs crystal.

Cell: 4.0820 4.0820 18.0101 Å, 90.00 90.00 120.00°
Closest atoms and distances in Å follow each position.
Space group R-3m (No. 166, hexagonal axes)
Unique sites:
Pm1 0.0000 0.0000 0.2473 x6  3 H 2.77, 3 Os 2.82
H1 0.0000 0.0000 0.5000 x3  6 Pm 2.77
Os1 0.0000 0.0000 0.0000 x3  6 Pm 2.82

Properties
**ΔE to the lowest computed polymorph**: 50 meV per atom
**Volume**: 259.9 Å³ per cell
**DOS(E_F)**: 2.80 states/eV/f.u.
**Total DFT energy (no corrections)**: -6.0287 eV/atom
**Density**: 9.2 g/cm3


Entry 3:
The following is a DFT calculation (PBE-GGA) of a relaxed LiYGa3 crystal.

Cell: 5.5321 5.5321 5.5321 Å, 90.00 90.00 90.00°
Closest atoms and distances in Å follow each position.
Space group Pm-3m (No. 221)
Unique sites:
Li1 0.0000 0.0000 0.0000 x1  12 Ga 3.91
Y1 0.5000 0.5000 0.5000 x1  6 Ga 2.77
Ga1 0.0000 0.5000 0.5000 x3  2 Y 2.77

Properties
**ΔE to the lowest computed polymorph**: 971 meV per atom
**Volume**: 169.3 Å³ per cell
**DOS(E_F)**: 5.11 states/eV/f.u.
**Total DFT energy (no corrections)**: -2.9754 eV/atom
**E_form**: 516 meV/atom
**Density**: 3.0 g/cm3


Entry 4:
The following is a DFT calculation (PBE-GGA) of a relaxed Nd8NiPt3Cl4 crystal.

Cell: 14.4266 8.3326 8.8724 Å, 90.00 122.90 90.00°
Closest atoms and distances in Å follow each position.
Space group C2/m (No. 12)
Unique sites:
Nd1 0.0124 0.2443 0.2937 x8  1 Ni 2.81, 2 Pt 2.88
Nd2 0.2319 0.0000 0.7064 x4  1 Ni 2.81, 2 Pt 2.88
Nd3 0.2371 0.5000 0.7106 x4  3 Pt 2.87
Ni1 0.0000 0.0000 0.5000 x2  6 Nd 2.81
Pt1 0.0000 0.5000 0.5000 x2  6 Nd 2.87-2.88
Pt2 0.2500 0.2500 0.5000 x4  6 Nd 2.87-2.88
Cl1 0.0000 0.0000 0.0000 x2  6 Nd 3.22-3.23
Cl2 0.0000 0.5000 0.0000 x2  6 Nd 3.29
Cl3 0.2500 0.2500 0.0000 x4  6 Nd 3.23

Properties
**Volume**: 895.5 Å³ per cell
**Raw formation energy**: -19.64 eV/f.u.
**DOS(E_F)**: 13.01 states/eV/f.u.
**Total DFT energy (no corrections)**: -5.5670 eV/atom
**Density**: 7.2 g/cm3


Entry 5:
The following is a DFT calculation (PBE-GGA) of a relaxed VFe crystal.

Cell: 4.6760 4.6760 4.6760 Å, 90.00 90.00 90.00°
Closest atoms and distances in Å follow each position.
Space group Fm-3m (No. 225)
Unique sites:
V1 0.0000 0.0000 0.0000 x4  6 Fe 2.34
Fe1 0.0000 0.0000 0.5000 x4  6 V 2.34

Properties
**Volume**: 102.2 Å³ per cell
**DOS(E_F)**: 2.21 states/eV/f.u.
**Total DFT energy (no corrections)**: -8.2395 eV/atom
**E_form**: 551 meV/atom
**Density**: 6.9 g/cm3


Entry 6:
The following is a DFT calculation (PBE-GGA) of a relaxed ZrZnIrRu crystal.

Cell: 6.3354 6.3354 6.3354 Å, 90.00 90.00 90.00°
Closest atoms and distances in Å follow each position.
Space group F-43m (No. 216)
Unique sites:
Zr1 0.0000 0.0000 0.0000 x4  4 Ru 2.74, 4 Ir 2.74
Zn1 0.0000 0.0000 0.5000 x4  4 Ir 2.74, 4 Ru 2.74
Ir1 0.2500 0.2500 0.7500 x4  4 Zr 2.74, 4 Zn 2.74
Ru1 0.2500 0.2500 0.2500 x4  4 Zr 2.74, 4 Zn 2.74

Properties
**Volume**: 254.3 Å³ per cell
**DOS(E_F)**: 3.09 states/eV/f.u.
**Total DFT energy (no corrections)**: -7.4657 eV/atom
**E_form**: -476 meV/atom
**Density**: 11.8 g/cm3